1.
This record from the Alexandria database describes a relaxed LiCaY2 crystal. The functional is GGA-PBEsol.

Lattice parameters (Å, degrees): 7.800 7.800 7.800 90.00 90.00 90.00
Sites, in units of the cell vectors:
Li (0.000, 0.000, 0.000)
Li (0.000, 0.500, 0.500)
Li (0.500, 0.000, 0.500)
Li (0.500, 0.500, 0.000)
Ca (0.000, 0.000, 0.500)
Ca (0.000, 0.500, 0.000)
Ca (0.500, 0.000, 0.000)
Ca (0.500, 0.500, 0.500)
Y (0.250, 0.250, 0.250)
Y (0.250, 0.250, 0.750)
Y (0.250, 0.750, 0.250)
Y (0.250, 0.750, 0.750)
Y (0.750, 0.250, 0.250)
Y (0.750, 0.250, 0.750)
Y (0.750, 0.750, 0.250)
Y (0.750, 0.750, 0.750)

Output
* excess energy over the best structure of this formula in the dataset: 0.158 eV per atom
* space group: Fm-3m (225)
* total DFT energy (no corrections): -4.1984 eV/atom
* crystal system: cubic
* formation energy from the elements: 0.2377 eV per atom

2.
This record from the Alexandria database describes a relaxed Li4CaY crystal. The functional is GGA-PBEsol.

Lattice parameters (Å, degrees): 5.958 5.958 5.958 60.00 60.00 60.00
Sites, in units of the cell vectors:
Li (0.376, 0.376, 0.376)
Li (0.376, 0.376, 0.873)
Li (0.376, 0.873, 0.376)
Li (0.873, 0.376, 0.376)
Ca (0.000, 0.000, 0.000)
Y (0.750, 0.750, 0.750)

Output
* space group: F-43m (216)
* total DFT energy (no corrections): -2.7136 eV/atom
* crystal system: cubic
* formation energy from the elements: 0.0901 eV per atom

3.
This record from the Alexandria database describes a relaxed LiCaY2 crystal. The functional is GGA-PBEsol.

Lattice parameters (Å, degrees): 3.460 5.117 6.967 90.00 99.16 90.00
Sites, in units of the cell vectors:
Li (0.000, 0.000, 0.000)
Ca (0.599, 0.500, 0.745)
Y (0.019, 0.000, 0.463)
Y (0.457, 0.500, 0.234)

Output
* excess energy over the best structure of this formula in the dataset: 0.083 eV per atom
* space group: Pm (6)
* total DFT energy (no corrections): -4.2741 eV/atom
* crystal system: monoclinic
* formation energy from the elements: 0.1620 eV per atom

4.
This record from the Alexandria database describes a relaxed LiCaY2 crystal. The functional is GGA-PBEsol.

Lattice parameters (Å, degrees): 3.780 5.644 11.089 90.00 90.00 90.00
Sites, in units of the cell vectors:
Li (0.000, 0.000, 0.000)
Li (0.500, 0.500, 0.500)
Ca (0.000, 0.500, 0.277)
Ca (0.500, 0.000, 0.777)
Y (0.000, 0.000, 0.497)
Y (0.000, 0.500, 0.727)
Y (0.500, 0.000, 0.227)
Y (0.500, 0.500, 0.997)

Output
* excess energy over the best structure of this formula in the dataset: 0.079 eV per atom
* space group: Imm2 (44)
* total DFT energy (no corrections): -4.2779 eV/atom
* crystal system: orthorhombic
* formation energy from the elements: 0.1581 eV per atom

5.
This record from the Alexandria database describes a relaxed LiCaY2 crystal. The functional is GGA-PBEsol.

Lattice parameters (Å, degrees): 3.642 3.642 8.958 90.00 90.00 90.00
Sites, in units of the cell vectors:
Li (0.000, 0.000, 0.000)
Ca (0.000, 0.000, 0.500)
Y (0.500, 0.500, 0.200)
Y (0.500, 0.500, 0.800)

Output
* excess energy over the best structure of this formula in the dataset: 0.076 eV per atom
* space group: P4/mmm (123)
* total DFT energy (no corrections): -4.2809 eV/atom
* crystal system: tetragonal
* formation energy from the elements: 0.1552 eV per atom

6.
This record from the Alexandria database describes a relaxed LiCaZn2 crystal. The functional is GGA-PBEsol.

Lattice parameters (Å, degrees): 3.399 3.399 6.670 90.00 90.00 90.00
Sites, in units of the cell vectors:
Li (0.000, 0.000, 0.000)
Ca (0.000, 0.000, 0.500)
Zn (0.500, 0.500, 0.196)
Zn (0.500, 0.500, 0.804)

Output
* excess energy over the best structure of this formula in the dataset: 0.033 eV per atom
* space group: P4/mmm (123)
* total DFT energy (no corrections): -1.9595 eV/atom
* crystal system: tetragonal
* formation energy from the elements: -0.1435 eV per atom

7.
This record from the Alexandria database describes a relaxed LiCaZn crystal. The functional is GGA-PBEsol.

Lattice parameters (Å, degrees): 4.651 4.651 3.714 90.00 90.00 120.00
Sites, in units of the cell vectors:
Li (0.000, 0.000, 0.000)
Ca (0.667, 0.333, 0.500)
Zn (0.333, 0.667, 0.000)

Output
* excess energy over the best structure of this formula in the dataset: 0.027 eV per atom
* space group: P-6m2 (187)
* total DFT energy (no corrections): -1.9736 eV/atom
* crystal system: hexagonal
* formation energy from the elements: -0.0797 eV per atom

8.
This record from the Alexandria database describes a relaxed LiCaZn crystal. The functional is GGA-PBEsol.

Lattice parameters (Å, degrees): 3.595 3.595 10.151 90.00 90.00 90.00
Sites, in units of the cell vectors:
Li (0.000, 0.000, 0.000)
Li (0.500, 0.500, 0.500)
Ca (0.000, 0.000, 0.706)
Ca (0.500, 0.500, 0.206)
Zn (0.000, 0.000, 0.383)
Zn (0.500, 0.500, 0.883)

Output
* excess energy over the best structure of this formula in the dataset: 0.000 eV per atom
* space group: I4mm (107)
* total DFT energy (no corrections): -2.0003 eV/atom
* crystal system: tetragonal
* formation energy from the elements: -0.1064 eV per atom